Version a
Material: HoCo3Si3
Method: DFT, GGA-PBE
State: optimized geometry

Computed properties:
size of the total moment	0.0	μB per formula unit
ρ	6.058	Mg/m³

POSCAR file:
```
HoCo3Si3
1.0
6.158 0.000 0.000
0.000 6.158 0.000
0.000 0.000 6.158
Si Co Ho
6 6 2
Cartesian
0.000 1.540 3.079
0.000 4.619 3.079
3.079 0.000 4.619
4.619 3.079 0.000
3.079 0.000 1.540
1.540 3.079 0.000
1.540 0.000 3.079
0.000 3.079 1.540
3.079 4.619 0.000
4.619 0.000 3.079
0.000 3.079 4.619
3.079 1.540 0.000
3.079 3.079 3.079
0.000 0.000 0.000
```

=====

Version b
Material: HoCo3Si3
Method: DFT, GGA-PBE
State: optimized geometry

Computed properties:
size of the total moment	0.0	μB per formula unit
ρ	6.494	Mg/m³

POSCAR file:
```
HoCo3Si3
1.0
6.185 0.000 0.000
3.093 5.357 0.000
3.093 1.786 6.575
Ho Co Si
2 6 6
Cartesian
3.093 1.786 0.052
9.278 5.357 6.523
7.589 5.174 4.129
6.872 1.554 4.129
4.095 3.985 4.129
8.275 3.157 2.446
5.499 5.588 2.446
4.782 1.968 2.446
4.032 4.048 1.843
6.849 1.468 1.843
7.675 5.197 1.843
4.696 1.945 4.732
5.522 5.674 4.732
8.338 3.094 4.732
```

=====

Which structure is most stable? version b, by 17.9 kJ/mol of atoms over the runner-up.

=====

Version a
Material: SmHo3Co2
Method: DFT, GGA-PBE
State: optimized geometry

Computed properties:
size of the total moment	0.0	μB per formula unit
ρ	8.580	Mg/m³

POSCAR file:
```
SmHo3Co2
1.0
-1.171 -2.048 2.902
2.125 -7.829 -2.256
8.497 -1.220 4.978
Sm Ho Co
2 6 4
Cartesian
6.550 -7.084 4.875
2.900 -4.013 0.749
8.181 -8.536 2.098
1.270 -2.560 3.526
8.019 -3.748 5.411
1.432 -7.349 0.213
4.660 -3.979 3.893
4.791 -7.118 1.731
9.029 -6.176 4.106
0.421 -4.921 1.518
5.705 -9.437 2.874
3.746 -1.660 2.750
```

=====

Version b
Material: SmHo3Co2
Method: DFT, GGA-PBE
State: optimized geometry

Computed properties:
size of the total moment	0.0	μB per formula unit
ρ	8.228	Mg/m³

POSCAR file:
```
SmHo3Co2
1.0
3.972 0.000 0.000
1.986 8.043 -0.041
1.986 1.865 9.632
Sm Ho Co
2 6 4
Cartesian
3.972 4.787 6.644
3.972 5.121 2.947
1.986 2.010 7.801
5.957 7.898 1.790
5.957 7.240 9.004
1.986 2.668 0.588
5.957 7.643 5.349
1.986 2.266 4.242
5.957 4.609 8.470
1.986 5.299 1.122
3.972 2.156 6.027
3.972 7.752 3.564
```

=====

Which structure is most stable? version a, by 5.5 kJ/mol of atoms over the runner-up.

=====

Version a
Material: SmHo2Co
Method: DFT, GGA-PBE
State: optimized geometry

Computed properties:
size of the total moment	0.7	μB per formula unit
ρ	8.763	Mg/m³

POSCAR file:
```
SmHo2Co
1.0
3.389 0.000 0.000
0.000 3.389 0.000
0.000 0.000 8.895
Co Ho Sm
1 2 1
Cartesian
1.695 1.695 0.000
0.000 0.000 7.292
0.000 0.000 1.603
1.695 1.695 4.448
```

=====

Version b
Material: SmHo2Co
Method: DFT, GGA-PBE
State: optimized geometry

Computed properties:
size of the total moment	0.0	μB per formula unit
ρ	8.159	Mg/m³

POSCAR file:
```
SmHo2Co
1.0
3.704 0.000 0.000
1.852 3.208 0.000
1.852 1.069 9.233
Co Ho Sm
1 2 1
Cartesian
0.000 0.000 0.000
1.852 1.069 1.551
5.557 3.208 7.682
3.704 2.139 4.617
```

=====

Which structure is most stable? version a, by 6.7 kJ/mol of atoms over the runner-up.

=====

Version a
Material: SmHo2Co
Method: DFT, GGA-PBE
State: optimized geometry

Computed properties:
size of the total moment	0.0	μB per formula unit
ρ	8.120	Mg/m³

POSCAR file:
```
SmHo2Co
1.0
-3.651 0.916 0.203
-2.224 -0.443 -3.010
-3.901 -8.177 1.725
Sm Ho Co
1 2 1
Cartesian
-4.879 -3.816 -0.553
-3.579 -6.794 1.284
-2.286 -1.248 -0.487
-3.919 0.303 -1.868
```

=====

Version b
Material: SmHo2Co
Method: DFT, GGA-PBE
State: optimized geometry

Computed properties:
size of the total moment	0.0	μB per formula unit
ρ	8.629	Mg/m³

POSCAR file:
```
SmHo2Co
1.0
-1.083 1.588 -3.100
0.979 -6.091 -1.320
-8.969 -1.909 2.156
Sm Ho Co
2 4 2
Cartesian
-2.419 -4.095 -3.400
-6.653 -2.317 1.137
-4.822 -4.890 -0.821
-4.250 -1.522 -1.443
-8.002 -5.567 -0.056
-1.070 -0.845 -2.207
-7.045 -3.339 -1.396
-2.028 -3.073 -0.867
```

=====

Version c
Material: SmHo2Co
Method: DFT, GGA-PBE
State: optimized geometry

Computed properties:
size of the total moment	0.0	μB per formula unit
ρ	8.686	Mg/m³

POSCAR file:
```
SmHo2Co
1.0
-5.447 -2.004 -2.445
-1.455 -3.287 5.935
-4.303 7.748 3.236
Sm Ho Co
4 8 4
Cartesian
-5.350 -1.130 2.468
-5.825 0.071 -1.039
-5.855 3.587 4.258
-5.380 2.386 7.765
-2.234 -2.033 3.779
-3.869 2.129 1.628
-7.408 1.677 1.772
-8.898 3.141 6.273
-8.971 4.490 2.947
-7.336 0.328 5.098
-3.797 0.780 4.954
-2.307 -0.684 0.453
-1.947 0.552 2.965
-4.780 -1.866 4.988
-9.258 1.905 3.761
-6.425 4.323 1.739
```

=====

Which structure is most stable? version c, by 2.3 kJ/mol of atoms over the runner-up.

=====

Version a
Material: Sm3HoCo
Method: DFT, GGA-PBE
State: optimized geometry

Computed properties:
size of the total moment	0.0	μB per formula unit
ρ	7.681	Mg/m³

POSCAR file:
```
Sm3HoCo
1.0
-5.463 -0.422 6.203
-3.023 -6.100 2.401
1.744 -0.801 6.960
Sm Ho Co
6 2 2
Cartesian
-3.517 -6.382 7.905
-1.579 -4.228 9.758
-5.164 -3.095 5.805
-1.583 -3.839 6.119
-3.226 -0.940 7.659
-5.159 -3.483 9.445
-5.307 -6.902 13.573
-1.436 -0.421 1.991
-2.324 -1.870 4.605
-4.418 -5.453 10.959
```

=====

Version b
Material: Sm3HoCo
Method: DFT, GGA-PBE
State: optimized geometry

Computed properties:
size of the total moment	0.7	μB per formula unit
ρ	7.237	Mg/m³

POSCAR file:
```
Sm3HoCo
1.0
-1.289 -5.059 1.257
5.077 -0.925 1.484
-1.182 1.544 5.006
Co Ho Sm
1 1 3
Cartesian
0.000 0.000 0.000
1.303 -2.220 3.873
2.539 -0.462 0.742
-0.591 0.772 2.503
-0.644 -2.530 0.628
```

=====

Which structure is most stable? version a, by 15.6 kJ/mol of atoms over the runner-up.

=====

Version a
Material: Sm2HoCo
Method: DFT, GGA-PBE
State: optimized geometry

Computed properties:
size of the total moment	0.0	μB per formula unit
ρ	7.396	Mg/m³

POSCAR file:
```
Sm2HoCo
1.0
3.615 0.000 0.000
1.807 3.130 0.000
1.807 1.043 10.409
Co Ho Sm
1 1 2
Cartesian
3.615 2.087 5.205
0.000 0.000 0.000
1.807 1.043 6.908
5.422 3.130 3.502
```

=====

Version b
Material: Sm2HoCo
Method: DFT, GGA-PBE
State: optimized geometry

Computed properties:
size of the total moment	1.5	μB per formula unit
ρ	8.138	Mg/m³

POSCAR file:
```
Sm2HoCo
1.0
3.488 0.000 0.000
0.000 3.488 0.000
0.000 0.000 8.799
Co Ho Sm
1 1 2
Cartesian
1.744 1.744 0.000
1.744 1.744 4.399
0.000 0.000 7.136
0.000 0.000 1.663
```

=====

Version c
Material: Sm2HoCo
Method: DFT, GGA-PBE
State: optimized geometry

Computed properties:
size of the total moment	0.0	μB per formula unit
ρ	8.170	Mg/m³

POSCAR file:
```
Sm2HoCo
1.0
-2.202 3.003 0.023
0.155 -2.152 -5.824
-7.639 -5.616 1.871
Sm Ho Co
4 2 2
Cartesian
-3.527 -2.582 -0.803
-6.159 -2.182 -3.126
-8.874 -4.177 -2.461
-0.813 -0.587 -1.468
-2.687 -1.937 -4.305
-6.999 -2.827 0.375
-3.465 -0.215 -2.310
-6.221 -4.550 -1.619
```

=====

Which structure is most stable? version c, by 12.5 kJ/mol of atoms over the runner-up.

=====

Version a
Material: Ho2CoSn
Method: DFT, GGA-PBE
State: optimized geometry

Computed properties:
size of the total moment	0.1	μB per formula unit
ρ	9.442	Mg/m³

POSCAR file:
```
Ho2CoSn
1.0
-0.158 -1.439 -3.054
3.018 -1.430 0.517
-3.498 -6.251 3.127
Co Ho Sn
1 2 1
Cartesian
1.430 -1.435 -1.268
-2.774 -4.957 2.480
-0.724 -1.293 0.647
-0.319 -4.560 0.296
```

=====

Version b
Material: Ho2CoSn
Method: DFT, GGA-PBE
State: optimized geometry

Computed properties:
size of the total moment	0.0	μB per formula unit
ρ	8.751	Mg/m³

POSCAR file:
```
Ho2CoSn
1.0
-1.160 4.348 -4.058
-7.906 -1.206 0.969
3.844 5.971 5.299
Ho Co Sn
8 4 4
Cartesian
-0.887 4.067 -2.175
-0.383 5.649 3.900
-4.336 5.046 4.385
-4.840 3.464 -1.691
-2.917 6.956 1.596
-6.235 1.462 1.183
-2.306 2.156 0.613
1.012 7.650 1.027
-2.837 4.873 -0.339
1.673 4.445 2.436
-2.387 4.240 2.549
-6.896 4.668 -0.226
-0.467 4.884 0.842
-0.223 2.658 2.912
-4.757 4.229 1.368
-5.000 6.454 -0.702
```

=====

Which structure is most stable? version a, by 16.0 kJ/mol of atoms over the runner-up.

=====

Version a
Material: TbHo2Co
Method: DFT, GGA-PBE
State: optimized geometry

Computed properties:
size of the total moment	0.0	μB per formula unit
ρ	8.012	Mg/m³

POSCAR file:
```
TbHo2Co
1.0
3.569 0.000 0.000
1.785 3.091 0.000
1.785 1.030 10.291
Co Tb Ho
1 1 2
Cartesian
3.569 2.061 5.145
0.000 0.000 0.000
1.785 1.030 6.772
5.354 3.091 3.519
```

=====

Version b
Material: TbHo2Co
Method: DFT, GGA-PBE
State: optimized geometry

Computed properties:
size of the total moment	0.0	μB per formula unit
ρ	8.401	Mg/m³

POSCAR file:
```
TbHo2Co
1.0
3.745 0.000 0.000
1.872 3.243 0.000
1.872 1.081 8.915
Tb Ho Co
1 2 1
Cartesian
3.745 2.162 4.421
1.872 1.081 7.407
1.872 1.081 1.531
3.745 2.162 0.014
```

=====

Which structure is most stable? version b, by 16.1 kJ/mol of atoms over the runner-up.

=====

Version a
Material: TbHo2Co
Method: DFT, GGA-PBE
State: optimized geometry

Computed properties:
size of the total moment	0.8	μB per formula unit
ρ	9.024	Mg/m³

POSCAR file:
```
TbHo2Co
1.0
-0.402 1.970 -2.715
0.636 -2.641 -2.010
-8.606 -1.960 -0.148
Co Tb Ho
1 1 2
Cartesian
0.117 -0.335 -2.363
-4.186 -1.315 -2.437
-7.037 -1.603 -0.121
-1.570 -0.358 -0.027
```

=====

Version b
Material: TbHo2Co
Method: DFT, GGA-PBE
State: optimized geometry

Computed properties:
size of the total moment	0.0	μB per formula unit
ρ	8.929	Mg/m³

POSCAR file:
```
TbHo2Co
1.0
3.648 -0.146 0.000
-1.586 6.045 0.000
0.000 0.000 9.336
Tb Ho Co
2 4 2
Cartesian
0.197 4.966 2.334
1.865 0.933 7.002
0.068 1.682 3.995
1.994 4.216 5.341
1.994 4.216 8.663
0.068 1.682 0.673
1.941 2.871 2.334
0.121 3.027 7.002
```

=====

Which structure is most stable? version b, by 7.4 kJ/mol of atoms over the runner-up.

=====

Version a
Material: TbHo3Co2
Method: DFT, GGA-PBE
State: optimized geometry

Computed properties:
size of the total moment	0.0	μB per formula unit
ρ	8.696	Mg/m³

POSCAR file:
```
TbHo3Co2
1.0
6.530 0.000 0.000
0.000 6.867 0.000
-3.265 -3.433 6.572
Tb Ho Co
2 6 4
Cartesian
0.000 3.433 0.000
0.000 0.000 0.000
3.265 1.717 0.000
3.265 5.150 0.000
3.265 -1.717 3.461
0.000 1.717 3.111
0.000 5.150 3.111
3.265 1.717 3.461
1.443 0.000 4.791
4.708 0.000 1.782
-1.443 3.433 4.791
1.822 3.433 1.782
```

=====

Version b
Material: TbHo3Co2
Method: DFT, GGA-PBE
State: optimized geometry

Computed properties:
size of the total moment	0.0	μB per formula unit
ρ	8.789	Mg/m³

POSCAR file:
```
TbHo3Co2
1.0
-1.636 -2.321 -2.430
-2.278 -6.456 4.826
-9.539 1.950 1.684
Tb Ho Co
2 6 4
Cartesian
-9.793 -4.184 1.966
-3.659 -2.644 2.114
-9.558 -4.901 5.366
-3.895 -1.926 -1.286
-10.183 -0.584 1.664
-3.270 -6.243 2.416
-6.921 -2.011 0.831
-6.531 -4.816 3.249
-10.778 -2.440 3.838
-2.674 -4.387 0.242
-8.572 -6.641 3.491
-4.880 -0.186 0.589
```

=====

Which structure is most stable? version b, by 8.4 kJ/mol of atoms over the runner-up.

=====

Version a
Material: Tb3HoCo2
Method: DFT, GGA-PBE
State: optimized geometry

Computed properties:
size of the total moment	0.0	μB per formula unit
ρ	8.543	Mg/m³

POSCAR file:
```
Tb3HoCo2
1.0
3.676 0.000 0.741
1.546 8.090 1.819
-0.084 -0.024 9.908
Tb Ho Co
6 2 4
Cartesian
1.958 7.489 9.264
3.179 0.577 3.205
1.803 1.823 10.032
3.334 6.243 2.436
2.524 2.216 6.458
2.614 5.851 6.011
3.908 4.608 9.078
1.229 3.458 3.390
1.675 4.683 10.668
3.462 3.383 1.800
4.191 7.419 7.676
0.947 0.647 4.793
```

=====

Version b
Material: Tb3HoCo2
Method: DFT, GGA-PBE
State: optimized geometry

Computed properties:
size of the total moment	0.0	μB per formula unit
ρ	8.436	Mg/m³

POSCAR file:
```
Tb3HoCo2
1.0
6.551 0.000 0.000
0.000 6.915 0.000
-3.276 -3.458 6.601
Tb Ho Co
6 2 4
Cartesian
3.276 1.729 0.000
3.276 5.186 0.000
3.276 -1.729 3.498
0.000 1.729 3.103
0.000 5.186 3.103
3.276 1.729 3.498
0.000 3.458 0.000
0.000 0.000 0.000
1.448 0.000 4.813
4.724 0.000 1.788
-1.448 3.458 4.813
1.827 3.458 1.788
```

=====

Which structure is most stable? version a, by 8.7 kJ/mol of atoms over the runner-up.